(1)
Density functional theory data (PBE) for a relaxed CdAsF3 crystal.

Calculated values
* magnetic moment: 0.000 μB per atom
* E: -17.44 eV/f.u.
* E_form (uncorrected): -6.3 eV/f.u.
* ΔE to the lowest computed polymorph: 0 meV/atom
* density: 4.9 g/cm³
* N(E_F): 1.2 states/eV/f.u.

Cell lengths 4.3573, 4.3573, 4.3573 Å; angles 90.00, 90.00, 90.00 degrees
Last column: nearest neighbours and their distance in Å.
Space group Pm-3m (No. 221)
Unique sites:
Cd (0.0000, 0.0000, 0.0000) [1 per cell]  12 F 3.08
As (0.5000, 0.5000, 0.5000) [1 per cell]  6 F 2.18
F (0.0000, 0.5000, 0.5000) [3 per cell]  2 As 2.18



(2)
Density functional theory data (PBE) for a relaxed Cd2AsF crystal.

Calculated values
* magnetic moment: 0.000 μB per atom
* E: -11.68 eV/f.u.
* E_form (uncorrected): -3.3 eV/f.u.
* ΔE to the lowest computed polymorph: 0 meV/atom
* density: 5.9 g/cm³
* N(E_F): 0.7 states/eV/f.u.

Cell lengths 4.5115, 9.2315, 4.3067 Å; angles 90.00, 90.00, 90.00 degrees
Last column: nearest neighbours and their distance in Å.
Space group Pmn2_1 (No. 31)
Unique sites:
Cd (0.0000, 0.0623, 0.0000) [2 per cell]  3 As 2.63-2.75
Cd (0.0000, 0.6294, 0.8637) [2 per cell]  3 F 2.32-2.44
As (0.0000, 0.8107, 0.3436) [2 per cell]  5 Cd 2.63-2.80
F (0.0000, 0.4581, 0.4710) [2 per cell]  3 Cd 2.32-2.44



(3)
Density functional theory data (PBE) for a relaxed CdAsF crystal.

Calculated values
* magnetic moment: 0.000 μB per atom
* E: -10.53 eV/f.u.
* E_form (uncorrected): -3.1 eV/f.u.
* density: 5.5 g/cm³
* N(E_F): 0.1 states/eV/f.u.

Cell lengths 5.5587, 5.3841, 8.2793 Å; angles 90.00, 93.85, 90.00 degrees
Last column: nearest neighbours and their distance in Å.
Space group C2/m (No. 12)
Unique sites:
Cd (0.2134, 0.0000, 0.1745) [4 per cell]  2 F 2.19-2.44
As (0.2239, 0.5000, 0.5136) [4 per cell]  3 As 2.48-2.72, 1 Cd 2.58
F (0.2149, 0.0000, 0.9097) [4 per cell]  2 Cd 2.19-2.44



(4)
Density functional theory data (PBE) for a relaxed CdAs3F crystal.

Calculated values
* magnetic moment: 0.000 μB per atom
* E: -15.30 eV/f.u.
* E_form (uncorrected): 1.4 eV/f.u.
* ΔE to the lowest computed polymorph: 0 meV/atom
* density: 5.9 g/cm³
* N(E_F): 3.8 states/eV/f.u.

Cell lengths 4.6354, 4.6354, 4.6354 Å; angles 90.00, 90.00, 90.00 degrees
Last column: nearest neighbours and their distance in Å.
Space group Pm-3m (No. 221)
Unique sites:
Cd (0.0000, 0.0000, 0.0000) [1 per cell]  12 As 3.28
As (0.0000, 0.5000, 0.5000) [3 per cell]  2 F 2.32
F (0.5000, 0.5000, 0.5000) [1 per cell]  6 As 2.32